Entry from the Alexandria database: In3AgPb after structural relaxation (PBE).

* density of states at the Fermi level: 1.80 states/eV/f.u.
* space group: C2/m (12)
* raw total energy: -14.58 eV/f.u.
* theoretical density: 8.3 g/cm3
* polymorph energy (0 for the lowest one): 0.000 eV per atom
* volume: 263.29 Å³/cell

Cell lengths 9.053, 9.053, 7.259 Å; angles 111.82, 111.82, 28.63 degrees
Fractional positions:
In 0.111 0.111 0.138
In 0.245 0.245 0.853
In 0.317 0.317 0.495
In 0.683 0.683 0.505
In 0.755 0.755 0.147
In 0.889 0.889 0.862
Ag 0.082 0.082 0.523
Ag 0.918 0.918 0.477
Pb 0.464 0.464 0.230
Pb 0.536 0.536 0.770



Entry from the Alexandria database: Ag2HgPt after structural relaxation (PBE).

* density of states at the Fermi level: 0.60 states/eV/f.u.
* space group: R-3m (166)
* raw total energy: -11.90 eV/f.u.
* theoretical density: 14.0 g/cm3
* volume: 72.56 Å³/cell

Cell lengths 9.936, 9.936, 9.936 Å; angles 16.93, 16.93, 16.93 degrees
Fractional positions:
Ag 0.246 0.246 0.246
Ag 0.754 0.754 0.754
Hg 0.000 0.000 0.000
Pt 0.500 0.500 0.500



Entry from the Alexandria database: K2TeOs after structural relaxation (PBE).

* E_form (uncorrected): 0.387 eV per atom
* density of states at the Fermi level: 2.50 states/eV/f.u.
* space group: Cm (8)
* raw total energy: -15.02 eV/f.u.
* theoretical density: 4.9 g/cm3
* volume: 135.27 Å³/cell

Cell lengths 6.370, 6.370, 5.860 Å; angles 117.33, 117.33, 40.72 degrees
Fractional positions:
K 0.000 0.000 0.000
K 0.197 0.197 0.697
Te 0.411 0.411 0.411
Os 0.801 0.801 0.302



Entry from the Alexandria database: CaLa3Mo after structural relaxation (PBE).

* density of states at the Fermi level: 7.50 states/eV/f.u.
* space group: Pm-3m (221)
* raw total energy: -26.54 eV/f.u.
* theoretical density: 5.1 g/cm3
* polymorph energy (0 for the lowest one): 0.000 eV per atom
* volume: 181.75 Å³/cell

Cell lengths 5.664, 5.664, 5.664 Å; angles 90.00, 90.00, 90.00 degrees
Fractional positions:
Ca 0.000 0.000 0.000
La 0.000 0.500 0.500
La 0.500 0.000 0.500
La 0.500 0.500 0.000
Mo 0.500 0.500 0.500



Entry from the Alexandria database: AcPr2Br after structural relaxation (PBE).

* E_form (uncorrected): -0.458 eV per atom
* density of states at the Fermi level: 3.11 states/eV/f.u.
* space group: P4/mmm (123)
* raw total energy: -17.17 eV/f.u.
* theoretical density: 7.1 g/cm3
* polymorph energy (0 for the lowest one): 0.132 eV per atom
* volume: 137.91 Å³/cell

Cell lengths 3.731, 3.731, 9.908 Å; angles 90.00, 90.00, 90.00 degrees
Fractional positions:
Ac 0.000 0.000 0.000
Pr 0.500 0.500 0.270
Pr 0.500 0.500 0.730
Br 0.000 0.000 0.500



Entry from the Alexandria database: Er5Tm after structural relaxation (PBE).

* density of states at the Fermi level: 8.36 states/eV/f.u.
* space group: C2/m (12)
* raw total energy: -27.14 eV/f.u.
* theoretical density: 9.2 g/cm3
* volume: 180.89 Å³/cell

Cell lengths 6.050, 6.050, 6.990 Å; angles 106.77, 106.77, 48.18 degrees
Fractional positions:
Er 0.000 0.000 0.000
Er 0.333 0.333 0.167
Er 0.333 0.333 0.667
Er 0.667 0.667 0.333
Er 0.667 0.667 0.833
Tm 0.000 0.000 0.500



Entry from the Alexandria database: Re2BAuC after structural relaxation (PBE).

* density of states at the Fermi level: 2.87 states/eV/f.u.
* space group: P4/mmm (123)
* raw total energy: -39.77 eV/f.u.
* theoretical density: 16.2 g/cm3
* volume: 60.65 Å³/cell

Cell lengths 4.448, 4.448, 3.066 Å; angles 90.00, 90.00, 90.00 degrees
Fractional positions:
Re 0.000 0.500 0.000
Re 0.500 0.000 0.000
B 0.000 0.000 0.500
Au 0.500 0.500 0.500
C 0.000 0.000 0.000



Entry from the Alexandria database: TlAsHSe2 after structural relaxation (PBE).

* density of states at the Fermi level: 3.75 states/eV/f.u.
* space group: P4/mmm (123)
* raw total energy: -15.34 eV/f.u.
* theoretical density: 7.4 g/cm3
* polymorph energy (0 for the lowest one): 0.439 eV per atom
* volume: 98.45 Å³/cell

Cell lengths 5.328, 5.328, 3.468 Å; angles 90.00, 90.00, 90.00 degrees
Fractional positions:
Tl 0.000 0.000 0.000
As 0.500 0.500 0.000
H 0.500 0.500 0.500
Se 0.000 0.500 0.500
Se 0.500 0.000 0.500



Entry from the Alexandria database: Ba3Ho2UAs6 after structural relaxation (PBE).

* space group: C2/m (12)
* raw total energy: -67.91 eV/f.u.
* theoretical density: 6.6 g/cm3
* volume: 358.92 Å³/cell

Cell lengths 7.448, 7.448, 7.870 Å; angles 99.06, 99.06, 119.98 degrees
Fractional positions:
Ba 0.000 0.000 0.000
Ba 0.329 0.671 0.000
Ba 0.671 0.329 0.000
Ho 0.166 0.834 0.500
Ho 0.834 0.166 0.500
U 0.500 0.500 0.500
As 0.114 0.433 0.298
As 0.251 0.251 0.704
As 0.433 0.114 0.298
As 0.567 0.886 0.702
As 0.749 0.749 0.296
As 0.886 0.567 0.702



Entry from the Alexandria database: SrPmTcN4 after structural relaxation (PBE).

* E_form (uncorrected): -0.743 eV per atom
* density of states at the Fermi level: 0.00 states/eV/f.u.
* space group: P2_1/m (11)
* raw total energy: -55.30 eV/f.u.
* theoretical density: 5.4 g/cm3
* volume: 238.94 Å³/cell

Cell lengths 5.981, 5.852, 7.122 Å; angles 90.00, 106.59, 90.00 degrees
Fractional positions:
Sr 0.218 0.250 0.427
Sr 0.782 0.750 0.573
Pm 0.293 0.250 0.952
Pm 0.707 0.750 0.048
Tc 0.251 0.750 0.184
Tc 0.749 0.250 0.816
N 0.056 0.750 0.340
N 0.068 0.750 0.935
N 0.452 0.506 0.224
N 0.452 0.994 0.224
N 0.548 0.006 0.776
N 0.548 0.494 0.776
N 0.932 0.250 0.065
N 0.944 0.250 0.660



Entry from the Alexandria database: Pm3Tl3GaO8 after structural relaxation (PBE).

* E_form (uncorrected): -1.999 eV per atom
* density of states at the Fermi level: 9.49 states/eV/f.u.
* space group: R-3m (166)
* raw total energy: -94.02 eV/f.u.
* theoretical density: 7.7 g/cm3
* volume: 269.59 Å³/cell

Cell lengths 7.492, 7.492, 7.492 Å; angles 55.97, 55.97, 55.97 degrees
Fractional positions:
Pm 0.000 0.500 0.500
Pm 0.500 0.000 0.500
Pm 0.500 0.500 0.000
Tl 0.000 0.000 0.500
Tl 0.000 0.500 0.000
Tl 0.500 0.000 0.000
Ga 0.000 0.000 0.000
O 0.207 0.207 0.759
O 0.207 0.759 0.207
O 0.241 0.793 0.793
O 0.273 0.273 0.273
O 0.727 0.727 0.727
O 0.759 0.207 0.207
O 0.793 0.241 0.793
O 0.793 0.793 0.241



Entry from the Alexandria database: CaCuBr5 after structural relaxation (PBE).

* E_form (uncorrected): -0.899 eV per atom
* density of states at the Fermi level: 3.10 states/eV/f.u.
* space group: C2/c (15)
* raw total energy: -20.75 eV/f.u.
* theoretical density: 3.9 g/cm3
* volume: 432.12 Å³/cell

Cell lengths 7.054, 7.054, 8.905 Å; angles 98.49, 98.49, 93.20 degrees
Fractional positions:
Ca 0.034 0.966 0.750
Ca 0.966 0.034 0.250
Cu 0.000 0.500 0.000
Cu 0.500 0.000 0.500
Br 0.197 0.224 0.038
Br 0.224 0.197 0.538
Br 0.251 0.749 0.250
Br 0.259 0.665 0.890
Br 0.335 0.741 0.610
Br 0.665 0.259 0.390
Br 0.741 0.335 0.110
Br 0.749 0.251 0.750
Br 0.776 0.803 0.462
Br 0.803 0.776 0.962



Entry from the Alexandria database: CaBeCdPd2 after structural relaxation (PBE).

* density of states at the Fermi level: 2.48 states/eV/f.u.
* space group: P4/mmm (123)
* raw total energy: -18.74 eV/f.u.
* theoretical density: 6.8 g/cm3
* volume: 91.95 Å³/cell

Cell lengths 4.473, 4.473, 4.595 Å; angles 90.00, 90.00, 90.00 degrees
Fractional positions:
Ca 0.000 0.000 0.000
Be 0.500 0.500 0.500
Cd 0.500 0.500 0.000
Pd 0.000 0.500 0.500
Pd 0.500 0.000 0.500



Entry from the Alexandria database: NaTbIn4Se8 after structural relaxation (PBE).

* E_form (uncorrected): -0.795 eV per atom
* density of states at the Fermi level: 6.44 states/eV/f.u.
* space group: R3m (160)
* raw total energy: -55.91 eV/f.u.
* theoretical density: 5.3 g/cm3
* volume: 402.31 Å³/cell

Cell lengths 8.338, 8.338, 8.338 Å; angles 59.19, 59.19, 59.19 degrees
Fractional positions:
Na 0.000 0.000 0.000
Tb 0.360 0.360 0.360
In 0.364 0.364 0.890
In 0.364 0.890 0.364
In 0.747 0.747 0.747
In 0.890 0.364 0.364
Se 0.120 0.120 0.598
Se 0.120 0.598 0.120
Se 0.132 0.132 0.132
Se 0.146 0.612 0.612
Se 0.598 0.120 0.120
Se 0.609 0.609 0.609
Se 0.612 0.146 0.612
Se 0.612 0.612 0.146



Entry from the Alexandria database: LiNiAsC2 after structural relaxation (PBE).

* density of states at the Fermi level: 2.47 states/eV/f.u.
* space group: P4/mmm (123)
* raw total energy: -24.08 eV/f.u.
* theoretical density: 4.4 g/cm3
* volume: 62.55 Å³/cell

Cell lengths 3.683, 3.683, 4.610 Å; angles 90.00, 90.00, 90.00 degrees
Fractional positions:
Li 0.000 0.000 0.000
Ni 0.000 0.000 0.500
As 0.500 0.500 0.000
C 0.000 0.500 0.500
C 0.500 0.000 0.500



Entry from the Alexandria database: PrNd4Sm after structural relaxation (PBE).

* density of states at the Fermi level: 8.92 states/eV/f.u.
* space group: Cmcm (63)
* raw total energy: -27.28 eV/f.u.
* theoretical density: 6.7 g/cm3
* polymorph energy (0 for the lowest one): 0.201 eV per atom
* volume: 428.15 Å³/cell

Cell lengths 7.134, 7.134, 9.812 Å; angles 90.00, 90.00, 120.99 degrees
Fractional positions:
Pr 0.180 0.820 0.750
Pr 0.820 0.180 0.250
Nd 0.162 0.366 0.750
Nd 0.344 0.656 0.074
Nd 0.344 0.656 0.426
Nd 0.366 0.162 0.250
Nd 0.634 0.838 0.750
Nd 0.656 0.344 0.574
Nd 0.656 0.344 0.926
Nd 0.838 0.634 0.250
Sm 0.000 0.000 0.000
Sm 0.000 0.000 0.500



Entry from the Alexandria database: LaO after structural relaxation (PBE).

* E_form (uncorrected): -2.681 eV per atom
* density of states at the Fermi level: 1.44 states/eV/f.u.
* space group: F-43m (216)
* raw total energy: -15.25 eV/f.u.
* theoretical density: 5.7 g/cm3
* volume: 45.38 Å³/cell

Cell lengths 4.004, 4.004, 4.004 Å; angles 60.00, 60.00, 60.00 degrees
Fractional positions:
La 0.000 0.000 0.000
O 0.250 0.250 0.250



Entry from the Alexandria database: Pm2Pr3Sm after structural relaxation (PBE).

* density of states at the Fermi level: 9.01 states/eV/f.u.
* space group: P2_1/m (11)
* raw total energy: -28.23 eV/f.u.
* theoretical density: 6.7 g/cm3
* polymorph energy (0 for the lowest one): 0.042 eV per atom
* volume: 425.93 Å³/cell

Cell lengths 8.485, 3.763, 13.340 Å; angles 90.00, 90.07, 90.00 degrees
Fractional positions:
Pm 0.089 0.250 0.394
Pm 0.352 0.750 0.943
Pm 0.648 0.250 0.057
Pm 0.911 0.750 0.606
Pr 0.091 0.250 0.107
Pr 0.349 0.750 0.559
Pr 0.394 0.750 0.248
Pr 0.606 0.250 0.752
Pr 0.651 0.250 0.441
Pr 0.909 0.750 0.893
Sm 0.187 0.250 0.751
Sm 0.813 0.750 0.249



Entry from the Alexandria database: La6CuN3 after structural relaxation (PBE).

* E_form (uncorrected): -0.771 eV per atom
* density of states at the Fermi level: 8.27 states/eV/f.u.
* space group: P2_1/m (11)
* raw total energy: -66.35 eV/f.u.
* theoretical density: 6.3 g/cm3
* volume: 498.31 Å³/cell

Cell lengths 11.501, 3.707, 12.606 Å; angles 90.00, 112.01, 90.00 degrees
Fractional positions:
La 0.032 0.250 0.277
La 0.141 0.250 0.576
La 0.158 0.750 0.107
La 0.307 0.750 0.414
La 0.359 0.750 0.919
La 0.450 0.250 0.227
La 0.550 0.750 0.773
La 0.641 0.250 0.081
La 0.693 0.250 0.586
La 0.842 0.250 0.893
La 0.859 0.750 0.424
La 0.968 0.750 0.723
Cu 0.141 0.250 0.915
Cu 0.859 0.750 0.085
N 0.089 0.750 0.437
N 0.253 0.250 0.268
N 0.497 0.750 0.113
N 0.503 0.250 0.887
N 0.747 0.750 0.732
N 0.911 0.250 0.563



Entry from the Alexandria database: Na2AgCl after structural relaxation (PBE).

* E_form (uncorrected): -0.602 eV per atom
* density of states at the Fermi level: 0.00 states/eV/f.u.
* space group: Fm-3m (225)
* raw total energy: -9.74 eV/f.u.
* theoretical density: 3.2 g/cm3
* polymorph energy (0 for the lowest one): 0.158 eV per atom
* volume: 98.90 Å³/cell

Cell lengths 5.191, 5.191, 5.191 Å; angles 60.00, 60.00, 60.00 degrees
Fractional positions:
Na 0.250 0.250 0.250
Na 0.750 0.750 0.750
Ag 0.000 0.000 0.000
Cl 0.500 0.500 0.500



Entry from the Alexandria database: Y2ErZrN4 after structural relaxation (PBE).

* E_form (uncorrected): -1.742 eV per atom
* density of states at the Fermi level: 1.12 states/eV/f.u.
* space group: P2/m (10)
* raw total energy: -73.28 eV/f.u.
* theoretical density: 7.4 g/cm3
* volume: 111.15 Å³/cell

Cell lengths 5.885, 3.395, 5.894 Å; angles 90.00, 109.27, 90.00 degrees
Fractional positions:
Y 0.000 0.000 0.000
Y 0.500 0.500 0.000
Er 0.000 0.500 0.500
Zr 0.500 0.000 0.500
N 0.255 0.000 0.740
N 0.262 0.500 0.264
N 0.738 0.500 0.736
N 0.745 0.000 0.260



Entry from the Alexandria database: Mg3PtAu after structural relaxation (PBE).

* density of states at the Fermi level: 1.51 states/eV/f.u.
* space group: C2/c (15)
* raw total energy: -16.97 eV/f.u.
* theoretical density: 8.0 g/cm3
* polymorph energy (0 for the lowest one): 0.062 eV per atom
* volume: 383.92 Å³/cell

Cell lengths 7.017, 7.017, 7.803 Å; angles 90.20, 90.20, 87.69 degrees
Fractional positions:
Mg 0.053 0.820 0.911
Mg 0.067 0.438 0.664
Mg 0.180 0.947 0.589
Mg 0.286 0.485 0.090
Mg 0.438 0.067 0.164
Mg 0.485 0.286 0.590
Mg 0.515 0.714 0.410
Mg 0.562 0.933 0.836
Mg 0.714 0.515 0.910
Mg 0.820 0.053 0.411
Mg 0.933 0.562 0.336
Mg 0.947 0.180 0.089
Pt 0.169 0.251 0.366
Pt 0.251 0.169 0.866
Pt 0.749 0.831 0.134
Pt 0.831 0.749 0.634
Au 0.158 0.842 0.250
Au 0.377 0.623 0.750
Au 0.623 0.377 0.250
Au 0.842 0.158 0.750



Entry from the Alexandria database: BeBRu4 after structural relaxation (PBE).

* density of states at the Fermi level: 6.43 states/eV/f.u.
* space group: I4/mcm (140)
* raw total energy: -47.49 eV/f.u.
* theoretical density: 9.9 g/cm3
* volume: 142.05 Å³/cell

Cell lengths 6.270, 6.270, 6.270 Å; angles 129.77, 129.77, 73.77 degrees
Fractional positions:
Be 0.000 0.000 0.000
Be 0.500 0.500 0.000
B 0.250 0.250 0.000
B 0.750 0.750 0.000
Ru 0.034 0.534 0.838
Ru 0.196 0.034 0.500
Ru 0.304 0.804 0.838
Ru 0.466 0.304 0.500
Ru 0.534 0.696 0.500
Ru 0.696 0.196 0.162
Ru 0.804 0.966 0.500
Ru 0.966 0.466 0.162